Computed, not measured: BaMnBe2 at its PBEsol-relaxed geometry at the SCAN level of DFT.

**Energy of formation**: 0.770 eV per atom
**Polymorph energy (0 for the lowest one)**: 0.000 eV/f.u.

Structure (POSCAR):
```
BaMnBe2
1.0
6.8110 0.0000 0.0000
0.0000 6.8110 0.0000
0.0000 0.0000 6.8110
Ba Mn Be
4 4 8
Direct
0.0000 0.0000 0.0000 Ba
0.0000 0.5000 0.5000 Ba
0.5000 0.0000 0.5000 Ba
0.5000 0.5000 0.0000 Ba
0.0000 0.0000 0.5000 Mn
0.0000 0.5000 0.0000 Mn
0.5000 0.0000 0.0000 Mn
0.5000 0.5000 0.5000 Mn
0.2500 0.2500 0.2500 Be
0.2500 0.2500 0.7500 Be
0.2500 0.7500 0.2500 Be
0.2500 0.7500 0.7500 Be
0.7500 0.2500 0.2500 Be
0.7500 0.2500 0.7500 Be
0.7500 0.7500 0.2500 Be
0.7500 0.7500 0.7500 Be
```